Entry 1:
# La6PrIn, optimized geometry, DFT PBE
data_La6PrIn
_chemical_formula_sum 'La6 Pr1 In1'
_cell_length_a 6.306
_cell_length_b 8.916
_cell_length_c 8.135
_cell_angle_alpha 43.10
_cell_angle_beta 75.06
_cell_angle_gamma 61.78
_symmetry_space_group_name_H-M 'P 1'
_symmetry_Int_Tables_number 1
loop_
_symmetry_equiv_pos_as_xyz
'x,y,z'
loop_
_atom_site_label
_atom_site_fract_x
_atom_site_fract_y
_atom_site_fract_z
La1 0.760 0.239 0.240
La2 0.384 0.117 0.116
La3 0.116 0.384 0.384
La4 0.884 0.616 0.616
La5 0.240 0.761 0.760
La6 0.616 0.883 0.884
In1 0.000 0.000 0.000
Pr1 0.500 0.500 0.500
# DFT formation energy: -124 meV per atom
# volume: 34.059 A^3/atom
# ΔE to the lowest computed polymorph: 8.3 meV/atom


Entry 2:
# La5Pr8In, optimized geometry, DFT PBE
data_La5Pr8In
_chemical_formula_sum 'La5 Pr8 In1'
_cell_length_a 9.062
_cell_length_b 9.120
_cell_length_c 9.062
_cell_angle_alpha 85.92
_cell_angle_beta 122.37
_cell_angle_gamma 122.19
_symmetry_space_group_name_H-M 'P 1'
_symmetry_Int_Tables_number 1
loop_
_symmetry_equiv_pos_as_xyz
'x,y,z'
loop_
_atom_site_label
_atom_site_fract_x
_atom_site_fract_y
_atom_site_fract_z
La1 0.377 0.171 0.113
La2 0.963 0.238 0.926
La3 0.688 0.762 0.725
La4 0.504 0.000 0.504
La5 0.942 0.829 0.206
Pr1 0.510 0.628 0.224
Pr2 0.016 0.438 0.331
Pr3 0.001 0.061 0.573
Pr4 0.512 0.939 0.941
Pr5 0.893 0.562 0.579
Pr6 0.118 0.693 0.038
Pr7 0.345 0.307 0.425
Pr8 0.596 0.372 0.882
In1 0.283 0.500 0.783
# DFT formation energy: 68 meV per atom
# volume: 36.478 A^3/atom


Entry 3:
# La4Pr15In, optimized geometry, DFT PBE
data_La4Pr15In
_chemical_formula_sum 'La4 Pr15 In1'
_cell_length_a 5.189
_cell_length_b 5.189
_cell_length_c 26.340
_cell_angle_alpha 90.00
_cell_angle_beta 90.00
_cell_angle_gamma 90.00
_symmetry_space_group_name_H-M 'P 1'
_symmetry_Int_Tables_number 1
loop_
_symmetry_equiv_pos_as_xyz
'x,y,z'
loop_
_atom_site_label
_atom_site_fract_x
_atom_site_fract_y
_atom_site_fract_z
Pr1 0.000 0.500 0.500
Pr2 0.000 0.500 0.297
Pr3 0.500 0.500 0.195
Pr4 0.500 0.000 0.297
Pr5 0.000 0.500 0.703
Pr6 0.500 0.000 0.094
Pr7 0.500 0.000 0.703
Pr8 0.500 0.500 0.398
Pr9 0.000 0.500 0.094
Pr10 0.500 0.000 0.500
Pr11 0.500 0.500 0.000
Pr12 0.500 0.000 0.906
Pr13 0.500 0.500 0.602
Pr14 0.500 0.500 0.805
Pr15 0.000 0.500 0.906
La1 0.000 0.000 0.601
La2 0.000 0.000 0.197
La3 0.000 0.000 0.399
La4 0.000 0.000 0.803
In1 0.000 0.000 0.000
# DFT formation energy: -38 meV per atom
# volume: 35.456 A^3/atom